[1]
Material: TaCdSb3
Method: DFT, PBE-GGA
State: optimized geometry

Results
Space group: Pm-3m (221)
E_form (uncorrected): 34.510 kcal/mol of atoms

CIF file:
```
data_TaCdSb3
_chemical_formula_sum 'Ta1 Cd1 Sb3'
_cell_length_a 5.3618
_cell_length_b 5.3618
_cell_length_c 5.3618
_cell_angle_alpha 90.00
_cell_angle_beta 90.00
_cell_angle_gamma 90.00
_space_group_name_H-M_alt 'P 1'
_space_group_IT_number 1
loop_
_space_group_symop_operation_xyz
'x,y,z'
loop_
_atom_site_label
_atom_site_type_symbol
_atom_site_fract_x
_atom_site_fract_y
_atom_site_fract_z
Sb1 Sb 0.0000 0.5000 0.0000
Sb2 Sb 0.0000 0.0000 0.5000
Sb3 Sb 0.5000 0.0000 0.0000
Cd1 Cd 0.0000 0.0000 0.0000
Ta1 Ta 0.5000 0.5000 0.5000
```

[2]
Material: Ta2CdSb
Method: DFT, PBE-GGA
State: optimized geometry

Results
Space group: Cmm2 (35)
E_form (uncorrected): 3.668 kcal/mol of atoms

CIF file:
```
data_Ta2CdSb
_chemical_formula_sum 'Ta2 Cd1 Sb1'
_cell_length_a 3.0063
_cell_length_b 3.0063
_cell_length_c 10.1328
_cell_angle_alpha 90.00
_cell_angle_beta 90.00
_cell_angle_gamma 105.44
_space_group_name_H-M_alt 'P 1'
_space_group_IT_number 1
loop_
_space_group_symop_operation_xyz
'x,y,z'
loop_
_atom_site_label
_atom_site_type_symbol
_atom_site_fract_x
_atom_site_fract_y
_atom_site_fract_z
Sb1 Sb 0.5000 0.5000 0.7965
Cd1 Cd 0.0000 0.0000 0.4571
Ta1 Ta 0.0000 0.0000 0.0178
Ta2 Ta 0.5000 0.5000 0.2285
```

[3]
Material: TaCdSb2
Method: DFT, PBE-GGA
State: optimized geometry

Results
Space group: P2/m (10)
E_form (uncorrected): 9.558 kcal/mol of atoms

CIF file:
```
data_TaCdSb2
_chemical_formula_sum 'Ta1 Cd1 Sb2'
_cell_length_a 3.5911
_cell_length_b 5.8946
_cell_length_c 5.8891
_cell_angle_alpha 47.14
_cell_angle_beta 90.00
_cell_angle_gamma 90.00
_space_group_name_H-M_alt 'P 1'
_space_group_IT_number 1
loop_
_space_group_symop_operation_xyz
'x,y,z'
loop_
_atom_site_label
_atom_site_type_symbol
_atom_site_fract_x
_atom_site_fract_y
_atom_site_fract_z
Sb1 Sb 0.0000 0.0000 0.0000
Sb2 Sb 0.5000 0.5000 0.0000
Cd1 Cd 0.0000 0.0000 0.5000
Ta1 Ta 0.5000 0.5000 0.5000
```

[4]
Material: Ta2CdSb
Method: DFT, PBE-GGA
State: optimized geometry

Results
Space group: R3m (160)
E_form (uncorrected): 6.292 kcal/mol of atoms

CIF file:
```
data_Ta2CdSb
_chemical_formula_sum 'Ta2 Cd1 Sb1'
_cell_length_a 9.7036
_cell_length_b 9.7036
_cell_length_c 9.7036
_cell_angle_alpha 19.35
_cell_angle_beta 19.35
_cell_angle_gamma 19.35
_space_group_name_H-M_alt 'P 1'
_space_group_IT_number 1
loop_
_space_group_symop_operation_xyz
'x,y,z'
loop_
_atom_site_label
_atom_site_type_symbol
_atom_site_fract_x
_atom_site_fract_y
_atom_site_fract_z
Sb1 Sb 0.7404 0.7404 0.7404
Cd1 Cd 0.5072 0.5072 0.5072
Ta1 Ta 0.9946 0.9946 0.9946
Ta2 Ta 0.2577 0.2577 0.2577
```

[5]
Material: TaCdSb2
Method: DFT, PBE-GGA
State: optimized geometry

Results
Space group: R3m (160)
E_form (uncorrected): 6.747 kcal/mol of atoms

CIF file:
```
data_TaCdSb2
_chemical_formula_sum 'Ta1 Cd1 Sb2'
_cell_length_a 11.2747
_cell_length_b 11.2747
_cell_length_c 11.2747
_cell_angle_alpha 16.38
_cell_angle_beta 16.38
_cell_angle_gamma 16.38
_space_group_name_H-M_alt 'P 1'
_space_group_IT_number 1
loop_
_space_group_symop_operation_xyz
'x,y,z'
loop_
_atom_site_label
_atom_site_type_symbol
_atom_site_fract_x
_atom_site_fract_y
_atom_site_fract_z
Sb1 Sb 0.0151 0.0151 0.0151
Sb2 Sb 0.2318 0.2318 0.2318
Cd1 Cd 0.7571 0.7571 0.7571
Ta1 Ta 0.4960 0.4960 0.4960
```

[6]
Material: TaCdSb2
Method: DFT, PBE-GGA
State: optimized geometry

Results
Space group: I-42d (122)
E_form (uncorrected): 11.023 kcal/mol of atoms

CIF file:
```
data_TaCdSb2
_chemical_formula_sum 'Ta2 Cd2 Sb4'
_cell_length_a 6.5460
_cell_length_b 6.5460
_cell_length_c 7.8321
_cell_angle_alpha 65.30
_cell_angle_beta 65.30
_cell_angle_gamma 90.00
_space_group_name_H-M_alt 'P 1'
_space_group_IT_number 1
loop_
_space_group_symop_operation_xyz
'x,y,z'
loop_
_atom_site_label
_atom_site_type_symbol
_atom_site_fract_x
_atom_site_fract_y
_atom_site_fract_z
Sb1 Sb 0.6497 0.1250 0.2500
Sb2 Sb 0.1003 0.6250 0.2500
Sb3 Sb 0.3750 0.3503 0.7500
Sb4 Sb 0.8750 0.8997 0.7500
Cd1 Cd 0.5000 0.5000 0.0000
Cd2 Cd 0.2500 0.7500 0.5000
Ta1 Ta 0.0000 0.0000 0.0000
Ta2 Ta 0.7500 0.2500 0.5000
```